(1)
# PBE-GGA AgRhN2, relaxed
data_AgRhN2
_chemical_formula_sum 'Ag4 Rh4 N8'
_space_group_name_H-M_alt 'F m -3 m'
_space_group_IT_number 225
_space_group_name_Hall '-F 4 2 3'
_cell_length_a 5.5765
_cell_length_b 5.5765
_cell_length_c 5.5765
_cell_angle_alpha 90.00
_cell_angle_beta 90.00
_cell_angle_gamma 90.00
loop_
_atom_site_label
_atom_site_fract_x
_atom_site_fract_y
_atom_site_fract_z
Ag1 0.0000 0.0000 0.0000
Rh1 0.0000 0.0000 0.5000
N1 0.2500 0.2500 0.2500
# ΔE_f (raw) = 1.6167 eV per atom
# E above lowest polymorph = 769 meV/atom
# Volume = 10.84 Å³ per atom
# Calculated total energy = -81.55 eV/cell
# Size of the total moment = 0.000 μB per atom

***

(2)
# PBE-GGA Hg2SbAs, relaxed
data_Hg2SbAs
_chemical_formula_sum 'Hg4 Sb2 As2'
_space_group_name_H-M_alt 'I 4/m m m'
_space_group_IT_number 139
_space_group_name_Hall '-I 4 2'
_cell_length_a 4.1177
_cell_length_b 4.1177
_cell_length_c 12.4274
_cell_angle_alpha 90.00
_cell_angle_beta 90.00
_cell_angle_gamma 90.00
loop_
_atom_site_label
_atom_site_fract_x
_atom_site_fract_y
_atom_site_fract_z
Hg1 0.0000 0.5000 0.2500
Sb1 0.0000 0.0000 0.0000
As1 0.0000 0.0000 0.5000
# ΔE_f (raw) = 0.2495 eV per atom
# E above lowest polymorph = 213 meV/atom
# Volume = 26.34 Å³ per atom
# Calculated total energy = -16.76 eV/cell
# Size of the total moment = 0.000 μB per atom

***

What is the volume in the first record? 10.84 Å³ per atom

***

The lowest volume belongs to which entry? AgRhN2

***

The lowest volume belongs to which entry? AgRhN2

***

What is the formula in the first record? AgRhN2